Record 1
The following is a PBE calculation of an optimized crystal structure of Fe2CN, from the Alexandria database.

Summary:
As for the energy above the most stable polymorph in this dataset: 70.9 kJ per mole of atoms. The uncorrected formation energy is 918 meV per atom. Its calculated total energy is -7.701 eV/atom.

a b c (Å): 3.5050 3.5050 3.5050
angles (deg): 60.00 60.00 60.00
Element x y z (fractional)
Fe1 0.2500 0.2500 0.2500
Fe2 0.7500 0.7500 0.7500
C1 0.0000 0.0000 0.0000
N1 0.5000 0.5000 0.5000

---

Record 2
The following is a PBE calculation of an optimized crystal structure of Na2LiUF8, from the Alexandria database.

Summary:
The uncorrected formation energy is -3148 meV per atom. Its calculated total energy is -5.715 eV/atom.

a b c (Å): 5.1602 5.1820 7.1303
angles (deg): 89.53 89.51 84.27
Element x y z (fractional)
Na1 0.0031 0.0036 0.2085
Na2 0.9969 0.9964 0.7915
Li1 0.5000 0.5000 0.0000
U1 0.5000 0.5000 0.5000
F1 0.2026 0.8074 0.4997
F2 0.2394 0.7638 0.0000
F3 0.3026 0.3123 0.7081
F4 0.3086 0.3157 0.2910
F5 0.6914 0.6843 0.7090
F6 0.6974 0.6877 0.2919
F7 0.7606 0.2362 0.0000
F8 0.7974 0.1926 0.5003

---

Record 3
The following is a PBE calculation of an optimized crystal structure of CaOs2PdRu, from the Alexandria database.

Summary:
Its calculated total energy is -5.956 eV/atom.

a b c (Å): 4.8000 4.8000 4.8376
angles (deg): 90.00 90.00 90.00
Element x y z (fractional)
Ca1 0.0000 0.0000 0.0000
Os1 0.0000 0.5000 0.5000
Os2 0.5000 0.0000 0.5000
Pd1 0.5000 0.5000 0.5000
Ru1 0.5000 0.5000 0.0000

---

Record 4
The following is a PBE calculation of an optimized crystal structure of MoRuCl4, from the Alexandria database.

Summary:
The uncorrected formation energy is 1461 meV per atom. Its calculated total energy is -3.121 eV/atom.

a b c (Å): 5.6929 5.6929 5.6929
angles (deg): 60.00 60.00 60.00
Element x y z (fractional)
Mo1 0.0000 0.0000 0.0000
Ru1 0.7500 0.7500 0.7500
Cl1 0.3752 0.3752 0.3752
Cl2 0.3752 0.3752 0.8745
Cl3 0.3752 0.8745 0.3752
Cl4 0.8745 0.3752 0.3752

---

Record 5
The following is a PBE calculation of an optimized crystal structure of LiGdMgCo, from the Alexandria database.

Summary:
Its calculated total energy is -6.154 eV/atom.

a b c (Å): 4.7115 4.7115 4.7115
angles (deg): 60.00 60.00 60.00
Element x y z (fractional)
Li1 0.0000 0.0000 0.0000
Gd1 0.7500 0.7500 0.7500
Mg1 0.2500 0.2500 0.2500
Co1 0.5000 0.5000 0.5000

---

Record 6
The following is a PBE calculation of an optimized crystal structure of Nd2MgGe2, from the Alexandria database.

Summary:
Its calculated total energy is -4.842 eV/atom.

a b c (Å): 7.4803 7.4803 4.3978
angles (deg): 90.00 90.00 90.00
Element x y z (fractional)
Nd1 0.1785 0.3215 0.0000
Nd2 0.3215 0.8215 0.0000
Nd3 0.6785 0.1785 0.0000
Nd4 0.8215 0.6785 0.0000
Mg1 0.0000 0.0000 0.5000
Mg2 0.5000 0.5000 0.5000
Ge1 0.1211 0.6211 0.5000
Ge2 0.3789 0.1211 0.5000
Ge3 0.6211 0.8789 0.5000
Ge4 0.8789 0.3789 0.5000

---

Record 7
The following is a PBE calculation of an optimized crystal structure of CsRb2H6Ir, from the Alexandria database.

Summary:
Its calculated total energy is -3.513 eV/atom.

a b c (Å): 6.2745 6.2745 6.2745
angles (deg): 60.00 60.00 60.00
Element x y z (fractional)
Cs1 0.0000 0.0000 0.0000
Rb1 0.2500 0.2500 0.2500
Rb2 0.7500 0.7500 0.7500
H1 0.3100 0.3100 0.6900
H2 0.3100 0.6900 0.3100
H3 0.3100 0.6900 0.6900
H4 0.6900 0.3100 0.3100
H5 0.6900 0.3100 0.6900
H6 0.6900 0.6900 0.3100
Ir1 0.5000 0.5000 0.5000

---

Record 8
The following is a PBE calculation of an optimized crystal structure of Sm6As3P2I, from the Alexandria database.

Summary:
The uncorrected formation energy is -1461 meV per atom. Its calculated total energy is -6.014 eV/atom.

a b c (Å): 9.4003 9.4003 8.5072
angles (deg): 102.43 102.43 25.84
Element x y z (fractional)
Sm1 0.0050 0.0050 0.2803
Sm2 0.3217 0.3217 0.9007
Sm3 0.3308 0.3308 0.4207
Sm4 0.6692 0.6692 0.5793
Sm5 0.6783 0.6783 0.0993
Sm6 0.9950 0.9950 0.7197
As1 0.1612 0.1612 0.8352
As2 0.5000 0.5000 0.5000
As3 0.8388 0.8388 0.1648
P1 0.1676 0.1676 0.3335
P2 0.8324 0.8324 0.6665
I1 0.5000 0.5000 0.0000

---

Record 9
The following is a PBE calculation of an optimized crystal structure of KBeHg2Pt, from the Alexandria database.

Summary:
As for the energy above the most stable polymorph in this dataset: 0.0 kJ per mole of atoms. Its calculated total energy is -2.434 eV/atom.

a b c (Å): 5.3806 5.3806 4.4352
angles (deg): 90.00 90.00 90.00
Element x y z (fractional)
K1 0.0000 0.0000 0.0000
Be1 0.5000 0.5000 0.0000
Hg1 0.0000 0.5000 0.5000
Hg2 0.5000 0.0000 0.5000
Pt1 0.5000 0.5000 0.5000

---

Record 10
The following is a PBE calculation of an optimized crystal structure of YAuSe2, from the Alexandria database.

Summary:
The uncorrected formation energy is -963 meV per atom. Its calculated total energy is -5.141 eV/atom.

a b c (Å): 6.6450 6.6450 6.6450
angles (deg): 37.25 37.25 37.25
Element x y z (fractional)
Y1 0.0000 0.0000 0.0000
Au1 0.5000 0.5000 0.5000
Se1 0.2493 0.2493 0.2493
Se2 0.7507 0.7507 0.7507

---

Record 11
The following is a PBE calculation of an optimized crystal structure of RbCuRhS3, from the Alexandria database.

Summary:
The uncorrected formation energy is -578 meV per atom. Its calculated total energy is -4.711 eV/atom.

a b c (Å): 8.2673 3.7341 9.3171
angles (deg): 90.00 114.10 90.00
Element x y z (fractional)
Rb1 0.2367 0.2500 0.2571
Rb2 0.7633 0.7500 0.7429
Cu1 0.0780 0.2500 0.6000
Cu2 0.9220 0.7500 0.4000
Rh1 0.3214 0.7500 0.8525
Rh2 0.6786 0.2500 0.1475
S1 0.1359 0.2500 0.8596
S2 0.2235 0.7500 0.5623
S3 0.4843 0.7500 0.1283
S4 0.5157 0.2500 0.8717
S5 0.7765 0.2500 0.4377
S6 0.8641 0.7500 0.1404

---

Record 12
The following is a PBE calculation of an optimized crystal structure of TeRhSI2, from the Alexandria database.

Summary:
As for the energy above the most stable polymorph in this dataset: 0.0 kJ per mole of atoms. The uncorrected formation energy is 597 meV per atom. Its calculated total energy is -2.947 eV/atom.

a b c (Å): 5.4393 5.4393 5.0940
angles (deg): 90.00 90.00 90.00
Element x y z (fractional)
Te1 0.0000 0.0000 0.0000
Rh1 0.0000 0.0000 0.5000
S1 0.5000 0.5000 0.0000
I1 0.0000 0.5000 0.5000
I2 0.5000 0.0000 0.5000

---

Record 13
The following is a PBE calculation of an optimized crystal structure of Ho6TlTc, from the Alexandria database.

Summary:
Its calculated total energy is -4.889 eV/atom.

a b c (Å): 6.7908 6.8681 7.4437
angles (deg): 63.40 64.01 60.42
Element x y z (fractional)
Ho1 0.0360 0.4168 0.2607
Ho2 0.2171 0.9675 0.7421
Ho3 0.4149 0.7882 0.2593
Ho4 0.5851 0.2118 0.7407
Ho5 0.7829 0.0325 0.2579
Ho6 0.9640 0.5832 0.7393
Tl1 0.5000 0.5000 0.0000
Tc1 0.0000 0.0000 0.5000

---

Record 14
The following is a PBE calculation of an optimized crystal structure of AcMgAlHg2, from the Alexandria database.

Summary:
Its calculated total energy is -2.379 eV/atom.

a b c (Å): 6.8767 6.8767 6.8767
angles (deg): 141.07 141.07 56.23
Element x y z (fractional)
Ac1 0.0000 0.0000 0.0000
Mg1 0.2500 0.7500 0.5000
Al1 0.7500 0.2500 0.5000
Hg1 0.3802 0.3802 0.0000
Hg2 0.6198 0.6198 0.0000

---

Record 15
The following is a PBE calculation of an optimized crystal structure of RbFe2SeCl, from the Alexandria database.

Summary:
The uncorrected formation energy is -59 meV per atom. Its calculated total energy is -4.704 eV/atom.

a b c (Å): 4.5413 4.5413 7.7388
angles (deg): 90.00 90.00 90.00
Element x y z (fractional)
Rb1 0.0000 0.0000 0.0000
Fe1 0.0000 0.5000 0.5000
Fe2 0.5000 0.0000 0.5000
Se1 0.0000 0.0000 0.5000
Cl1 0.5000 0.5000 0.0000

---

Record 16
The following is a PBE calculation of an optimized crystal structure of BeZnPb, from the Alexandria database.

Summary:
Its calculated total energy is -2.572 eV/atom.

a b c (Å): 9.3739 4.1726 6.0195
angles (deg): 90.00 90.00 90.00
Element x y z (fractional)
Be1 0.0998 0.2500 0.2394
Be2 0.4002 0.7500 0.7394
Be3 0.5998 0.2500 0.2606
Be4 0.9002 0.7500 0.7606
Zn1 0.0757 0.7500 0.0470
Zn2 0.4243 0.2500 0.5470
Zn3 0.5757 0.7500 0.4530
Zn4 0.9243 0.2500 0.9530
Pb1 0.1530 0.7500 0.5255
Pb2 0.3470 0.2500 0.0255
Pb3 0.6530 0.7500 0.9745
Pb4 0.8470 0.2500 0.4745

---

Record 17
The following is a PBE calculation of an optimized crystal structure of Be2TeIr, from the Alexandria database.

Summary:
The uncorrected formation energy is 308 meV per atom. Its calculated total energy is -4.555 eV/atom.

a b c (Å): 3.6665 3.5792 4.5585
angles (deg): 90.00 105.99 90.00
Element x y z (fractional)
Be1 0.0000 0.0000 0.0000
Be2 0.0000 0.5000 0.5000
Te1 0.5000 0.0000 0.5000
Ir1 0.5000 0.5000 0.0000

---

Record 18
The following is a PBE calculation of an optimized crystal structure of Mg2ScBr, from the Alexandria database.

Summary:
As for the energy above the most stable polymorph in this dataset: 10.6 kJ per mole of atoms. The uncorrected formation energy is -265 meV per atom. Its calculated total energy is -3.063 eV/atom.

a b c (Å): 3.4260 5.2577 5.6139
angles (deg): 90.00 90.00 90.00
Element x y z (fractional)
Mg1 0.0000 0.0000 0.0000
Mg2 0.0000 0.5000 0.2676
Sc1 0.5000 0.5000 0.7860
Br1 0.5000 0.0000 0.6093

---

Record 19
The following is a PBE calculation of an optimized crystal structure of LaFeSb3, from the Alexandria database.

Summary:
The uncorrected formation energy is -170 meV per atom. Its calculated total energy is -5.322 eV/atom.

a b c (Å): 5.1190 5.1190 5.1190
angles (deg): 90.00 90.00 90.00
Element x y z (fractional)
La1 0.0000 0.0000 0.0000
Fe1 0.5000 0.5000 0.5000
Sb1 0.0000 0.5000 0.5000
Sb2 0.5000 0.0000 0.5000
Sb3 0.5000 0.5000 0.0000

---

Record 20
The following is a PBE calculation of an optimized crystal structure of LaCe4Ga4, from the Alexandria database.

Summary:
Its calculated total energy is -4.808 eV/atom.

a b c (Å): 8.5757 8.5757 5.9900
angles (deg): 90.00 90.00 90.00
Element x y z (fractional)
La1 0.2500 0.2500 0.2500
La2 0.7500 0.7500 0.7500
Ce1 0.0927 0.8151 0.6316
Ce2 0.1849 0.5927 0.1316
Ce3 0.3151 0.9073 0.1316
Ce4 0.4073 0.6849 0.6316
Ce5 0.5927 0.3151 0.3684
Ce6 0.6849 0.0927 0.8684
Ce7 0.8151 0.4073 0.8684
Ce8 0.9073 0.1849 0.3684
Ga1 0.0547 0.1441 0.8382
Ga2 0.1441 0.4453 0.6618
Ga3 0.3559 0.0547 0.6618
Ga4 0.4453 0.3559 0.8382
Ga5 0.5547 0.6441 0.1618
Ga6 0.6441 0.9453 0.3382
Ga7 0.8559 0.5547 0.3382
Ga8 0.9453 0.8559 0.1618

---

Record 21
The following is a PBE calculation of an optimized crystal structure of CsMnPb2I8, from the Alexandria database.

Summary:
The uncorrected formation energy is -629 meV per atom. Its calculated total energy is -3.116 eV/atom.

a b c (Å): 7.1121 8.0627 10.6983
angles (deg): 76.28 77.28 76.13
Element x y z (fractional)
Cs1 0.0000 0.0000 0.0000
Mn1 0.0000 0.0000 0.5000
Pb1 0.4128 0.4479 0.2366
Pb2 0.5872 0.5521 0.7634
I1 0.1660 0.6963 0.7265
I2 0.2385 0.2029 0.5137
I3 0.2670 0.8609 0.3143
I4 0.4276 0.2617 0.0083
I5 0.5724 0.7383 0.9917
I6 0.7330 0.1391 0.6857
I7 0.7615 0.7971 0.4863
I8 0.8340 0.3037 0.2735

---

Record 22
The following is a PBE calculation of an optimized crystal structure of B2IrC, from the Alexandria database.

Summary:
Its calculated total energy is -7.882 eV/atom.

a b c (Å): 2.7747 2.7747 5.6112
angles (deg): 104.23 104.23 59.90
Element x y z (fractional)
B1 0.0000 0.0000 0.0000
B2 0.5608 0.5608 0.6779
Ir1 0.7560 0.7560 0.2628
C1 0.9026 0.9026 0.7039

---

Record 23
The following is a PBE calculation of an optimized crystal structure of SiRuPt2, from the Alexandria database.

Summary:
The uncorrected formation energy is -304 meV per atom. Its calculated total energy is -6.999 eV/atom.

a b c (Å): 5.3880 5.3880 5.3880
angles (deg): 149.47 132.08 57.90
Element x y z (fractional)
Si1 0.0000 0.0000 0.0000
Ru1 0.7995 0.2995 0.5000
Pt1 0.2102 0.7102 0.5000
Pt2 0.5070 0.5070 0.0000

---

Record 24
The following is a PBE calculation of an optimized crystal structure of KHg3P, from the Alexandria database.

Summary:
As for the energy above the most stable polymorph in this dataset: 5.3 kJ per mole of atoms. Its calculated total energy is -1.570 eV/atom.

a b c (Å): 6.6293 6.6293 6.7558
angles (deg): 90.00 90.00 112.19
Element x y z (fractional)
K1 0.2338 0.7662 0.7500
K2 0.7662 0.2338 0.2500
Hg1 0.1272 0.8728 0.2500
Hg2 0.2765 0.2765 0.0000
Hg3 0.2765 0.2765 0.5000
Hg4 0.7235 0.7235 0.0000
Hg5 0.7235 0.7235 0.5000
Hg6 0.8728 0.1272 0.7500
P1 0.3631 0.6369 0.2500
P2 0.6369 0.3631 0.7500

---

Record 25
The following is a PBE calculation of an optimized crystal structure of VTe4W, from the Alexandria database.

Summary:
As for the energy above the most stable polymorph in this dataset: 0.0 kJ per mole of atoms. The uncorrected formation energy is -195 meV per atom. Its calculated total energy is -5.968 eV/atom.

a b c (Å): 3.3412 6.4101 8.0286
angles (deg): 77.00 78.08 90.00
Element x y z (fractional)
V1 0.0000 0.0000 0.0000
Te1 0.0924 0.4399 0.8141
Te2 0.3987 0.1929 0.2042
Te3 0.6298 0.9701 0.7382
Te4 0.8586 0.6741 0.2853
W1 0.4895 0.6366 0.0214